The following is a PBE+U calculation of an optimized crystal structure of ScInW2F, from Alexandria via LeMat-Bulk.

Results
DFT total energy ... -4.48 eV per atom
Magnetic moment ... 8.9 μB per cell

Unit cell a=5.6757 b=5.6757 c=3.9325 alpha=90.00 beta=90.00 gamma=90.00
Space group P4/mmm (No. 123)
Asymmetric unit:
Sc  0.0000  0.0000  0.0000 (multiplicity 1)
In  0.5000  0.5000  0.5000 (multiplicity 1)
W  0.0000  0.5000  0.0000 (multiplicity 2)
F  0.0000  0.0000  0.5000 (multiplicity 1)